Below is an optimized crystal structure of AcBiOsO6, with properties calculated at the PBE level.

Computed properties:
Its volume is 271.44 Å³/cell. The space group is P-31c (163). The spin magnetization comes out at 1.945 μB/f.u. The density of states at the Fermi level is 8.58 states/eV/cell. For the uncorrected formation energy, the calculation gives -1.6467 eV/atom.

abc: 5.938 5.938 8.890
angles: 90.00 90.00 120.00
Sites, in units of the cell vectors:
O1 0.680 0.068 0.373
O2 0.613 0.680 0.627
O3 0.613 0.932 0.873
O4 0.387 0.068 0.127
O5 0.932 0.320 0.127
O6 0.387 0.320 0.373
O7 0.068 0.387 0.627
O8 0.320 0.387 0.873
O9 0.068 0.680 0.873
O10 0.320 0.932 0.627
O11 0.932 0.613 0.373
O12 0.680 0.613 0.127
Os1 0.667 0.333 0.250
Os2 0.333 0.667 0.750
Bi1 0.000 0.000 0.500
Bi2 0.000 0.000 0.000
Ac1 0.667 0.333 0.750
Ac2 0.333 0.667 0.250

Below is an optimized crystal structure of Cr2MoPt, with properties calculated at the PBE level.

Computed properties:
Its volume is 57.31 Å³/cell. The space group is P4/mmm (123). The spin magnetization comes out at 3.550 μB/f.u. For the raw total energy, the calculation gives -9.00 eV/atom. The density of states at the Fermi level is 3.87 states/eV/cell.

abc: 3.128 3.128 5.857
angles: 90.00 90.00 90.00
Sites, in units of the cell vectors:
Pt1 0.500 0.500 0.750
Cr1 0.000 0.000 0.010
Cr2 0.000 0.000 0.490
Mo1 0.500 0.500 0.250

Below is an optimized crystal structure of ScCdN2, with properties calculated at the PBE level.

Computed properties:
Its volume is 69.55 Å³/cell. The space group is R-3m (166). The spin magnetization comes out at 0.849 μB/f.u. The density of states at the Fermi level is 3.67 states/eV/cell. For the uncorrected formation energy, the calculation gives 0.7612 eV/atom.

abc: 6.481 6.481 6.481
angles: 32.41 32.41 32.41
Sites, in units of the cell vectors:
Sc1 0.000 0.000 0.000
N1 0.894 0.894 0.894
N2 0.106 0.106 0.106
Cd1 0.500 0.500 0.500

Below is an optimized crystal structure of TbScHgBi, with properties calculated at the PBE level.

Computed properties:
Its volume is 103.31 Å³/cell. The space group is F-43m (216). The spin magnetization comes out at 0.006 μB/f.u. For the raw total energy, the calculation gives -4.22 eV/atom. The density of states at the Fermi level is 4.79 states/eV/cell.

abc: 5.267 5.267 5.267
angles: 60.00 60.00 60.00
Sites, in units of the cell vectors:
Sc1 0.000 0.000 0.000
Hg1 0.250 0.250 0.250
Tb1 0.500 0.500 0.500
Bi1 0.750 0.750 0.750

Below is an optimized crystal structure of LiZnHg2, with properties calculated at the PBE level.

Computed properties:
Its volume is 79.03 Å³/cell. The space group is P4mm (99). The spin magnetization comes out at 0.000 μB/f.u. For the raw total energy, the calculation gives -1.08 eV/atom. The density of states at the Fermi level is 1.09 states/eV/cell.

abc: 3.680 3.680 5.836
angles: 90.00 90.00 90.00
Sites, in units of the cell vectors:
Hg1 0.500 0.500 0.284
Hg2 0.000 0.000 0.967
Li1 0.000 0.000 0.493
Zn1 0.500 0.500 0.756

Below is an optimized crystal structure of SrCu3Ge2, with properties calculated at the PBE level.

Computed properties:
Its volume is 235.12 Å³/cell. The space group is Immm (71). The spin magnetization comes out at 0.000 μB/f.u. For the raw total energy, the calculation gives -4.03 eV/atom. The density of states at the Fermi level is 5.16 states/eV/cell.

abc: 8.439 8.439 8.439
angles: 151.51 124.16 63.87
Sites, in units of the cell vectors:
Cu1 0.531 0.876 0.655
Cu2 0.337 0.500 0.837
Cu3 0.663 0.500 0.163
Cu4 0.221 0.876 0.345
Cu5 0.779 0.124 0.655
Cu6 0.469 0.124 0.345
Ge1 0.661 0.661 0.000
Ge2 0.848 0.000 0.848
Ge3 0.152 0.000 0.152
Ge4 0.339 0.339 0.000
Sr1 0.161 0.661 0.500
Sr2 0.839 0.339 0.500

Below is an optimized crystal structure of CeHfPd14, with properties calculated at the PBE level.

Computed properties:
Its volume is 259.97 Å³/cell. The space group is P4/mmm (123). The spin magnetization comes out at 0.000 μB/f.u. For the raw total energy, the calculation gives -5.97 eV/atom. The density of states at the Fermi level is 18.33 states/eV/cell.

abc: 5.760 5.760 7.835
angles: 90.00 90.00 90.00
Sites, in units of the cell vectors:
Pd1 0.629 0.121 0.752
Pd2 0.875 0.375 0.000
Pd3 0.875 0.875 0.000
Pd4 0.121 0.121 0.248
Pd5 0.629 0.629 0.248
Pd6 0.375 0.875 0.000
Pd7 0.875 0.375 0.500
Pd8 0.121 0.121 0.752
Pd9 0.121 0.629 0.248
Pd10 0.629 0.629 0.752
Pd11 0.375 0.375 0.000
Pd12 0.121 0.629 0.752
Pd13 0.629 0.121 0.248
Pd14 0.375 0.875 0.500
Ce1 0.375 0.375 0.500
Hf1 0.875 0.875 0.500

Below is an optimized crystal structure of Sr5Pb2N6, with properties calculated at the PBE level.

Computed properties:
Its volume is 546.76 Å³/cell. The space group is C2/c (15). The spin magnetization comes out at 0.000 μB/f.u. For the uncorrected formation energy, the calculation gives -0.1554 eV/atom.

abc: 6.665 6.665 14.586
angles: 83.50 83.50 58.32
Sites, in units of the cell vectors:
Sr1 0.751 0.952 0.715
Sr2 0.952 0.751 0.215
Sr3 0.157 0.663 0.519
Sr4 0.337 0.843 0.981
Sr5 0.627 0.373 0.250
Sr6 0.048 0.249 0.785
Sr7 0.249 0.048 0.285
Sr8 0.373 0.627 0.750
Sr9 0.843 0.337 0.481
Sr10 0.663 0.157 0.019
N1 0.721 0.758 0.562
N2 0.646 0.670 0.331
N3 0.079 0.989 0.632
N4 0.758 0.721 0.062
N5 0.989 0.079 0.132
N6 0.011 0.921 0.868
N7 0.670 0.646 0.831
N8 0.921 0.011 0.368
N9 0.279 0.242 0.438
N10 0.242 0.279 0.938
N11 0.354 0.330 0.669
N12 0.330 0.354 0.169
Pb1 0.340 0.082 0.586
Pb2 0.918 0.660 0.914
Pb3 0.082 0.340 0.086
Pb4 0.660 0.918 0.414

Below is an optimized crystal structure of Ce4Os2Pb, with properties calculated at the PBE level.

Computed properties:
Its volume is 357.03 Å³/cell. The space group is P1 (1). The spin magnetization comes out at 1.155 μB/f.u. For the raw total energy, the calculation gives -7.35 eV/atom. The density of states at the Fermi level is 27.67 states/eV/cell.

abc: 6.916 7.118 8.636
angles: 108.03 107.11 104.86
Sites, in units of the cell vectors:
Ce1 0.377 0.460 0.187
Ce2 0.212 0.154 0.711
Ce3 0.484 0.754 0.918
Ce4 0.440 0.023 0.312
Ce5 0.815 0.586 0.582
Ce6 0.909 0.643 0.183
Ce7 0.976 0.210 0.317
Ce8 0.751 0.194 0.789
Os1 0.769 0.894 0.416
Os2 0.119 0.553 0.927
Os3 0.603 0.228 0.084
Os4 0.441 0.375 0.572
Pb1 0.319 0.729 0.532
Pb2 0.036 0.947 0.968

Below is an optimized crystal structure of Ti2BeTlF, with properties calculated at the PBE level.

Computed properties:
Its volume is 82.35 Å³/cell. The space group is P4/mmm (123). The spin magnetization comes out at 0.000 μB/f.u. The density of states at the Fermi level is 2.49 states/eV/cell. For the uncorrected formation energy, the calculation gives -0.0027 eV/atom.

abc: 4.998 3.297 4.998
angles: 90.00 90.00 90.00
Sites, in units of the cell vectors:
Ti1 0.000 0.000 0.500
Ti2 0.500 0.000 0.000
Tl1 0.500 0.500 0.500
Be1 0.000 0.000 0.000
F1 0.000 0.500 0.000

Below is an optimized crystal structure of HgOsRh, with properties calculated at the PBE level.

Computed properties:
Its volume is 101.81 Å³/cell. The space group is P1 (1). The spin magnetization comes out at 0.000 μB/f.u. For the raw total energy, the calculation gives -5.97 eV/atom. The density of states at the Fermi level is 5.99 states/eV/cell.

abc: 2.849 4.766 7.982
angles: 92.43 99.06 107.14
Sites, in units of the cell vectors:
Hg1 0.562 0.362 0.945
Hg2 0.164 0.807 0.745
Os1 0.542 0.858 0.401
Os2 0.766 0.393 0.302
Rh1 0.347 0.319 0.569
Rh2 0.957 0.924 0.133

Below is an optimized crystal structure of BeCr2Te, with properties calculated at the PBE level.

Computed properties:
Its volume is 117.16 Å³/cell. The space group is I-42d (122). The spin magnetization comes out at 0.000 μB/f.u. The density of states at the Fermi level is 5.52 states/eV/cell. For the uncorrected formation energy, the calculation gives 0.5764 eV/atom.

abc: 3.671 3.671 9.073
angles: 78.33 78.33 90.00
Sites, in units of the cell vectors:
Cr1 0.375 0.449 0.750
Cr2 0.199 0.625 0.250
Cr3 0.551 0.125 0.250
Cr4 0.875 0.801 0.750
Be1 0.500 0.500 0.000
Be2 0.250 0.750 0.500
Te1 0.000 0.000 0.000
Te2 0.750 0.250 0.500

Below is an optimized crystal structure of Li5CeTe4, with properties calculated at the PBE level.

Computed properties:
Its volume is 277.54 Å³/cell. The space group is Immm (71). The spin magnetization comes out at 1.001 μB/f.u. The density of states at the Fermi level is 5.43 states/eV/cell. For the uncorrected formation energy, the calculation gives -1.0801 eV/atom.

abc: 4.503 8.187 8.860
angles: 117.52 104.72 90.00
Sites, in units of the cell vectors:
Te1 0.718 0.218 0.435
Te2 0.000 0.730 0.000
Te3 0.000 0.270 0.000
Te4 0.282 0.782 0.565
Li1 0.819 0.019 0.638
Li2 0.500 0.500 0.000
Li3 0.181 0.382 0.362
Li4 0.181 0.981 0.362
Li5 0.819 0.618 0.638
Ce1 0.500 0.000 0.000

Below is an optimized crystal structure of Nd6PS3N2, with properties calculated at the PBE level.

Computed properties:
Its volume is 263.10 Å³/cell. The space group is C2/m (12). The spin magnetization comes out at 0.000 μB/f.u. The density of states at the Fermi level is 3.58 states/eV/cell. For the uncorrected formation energy, the calculation gives -1.7206 eV/atom.

abc: 3.909 8.019 8.910
angles: 104.71 102.67 90.00
Sites, in units of the cell vectors:
S1 0.500 0.500 0.000
S2 0.163 0.831 0.326
S3 0.837 0.169 0.674
Nd1 0.985 0.743 0.970
Nd2 0.669 0.115 0.339
Nd3 0.323 0.436 0.645
Nd4 0.015 0.257 0.030
Nd5 0.331 0.885 0.661
Nd6 0.677 0.564 0.355
P1 0.500 0.000 0.000
N1 0.829 0.663 0.659
N2 0.171 0.337 0.341

Below is an optimized crystal structure of Hg7Sb2Br2, with properties calculated at the PBE level.

Computed properties:
Its volume is 379.18 Å³/cell. The space group is C2/m (12). The spin magnetization comes out at 0.000 μB/f.u. The density of states at the Fermi level is 2.99 states/eV/cell. For the uncorrected formation energy, the calculation gives -0.0869 eV/atom.

abc: 5.775 8.410 8.410
angles: 71.06 81.01 81.01
Sites, in units of the cell vectors:
Hg1 0.149 0.569 0.569
Hg2 0.000 0.000 0.000
Hg3 0.309 0.041 0.410
Hg4 0.691 0.959 0.590
Hg5 0.309 0.410 0.041
Hg6 0.851 0.431 0.431
Hg7 0.691 0.590 0.959
Br1 0.500 0.272 0.728
Br2 0.500 0.728 0.272
Sb1 0.941 0.215 0.215
Sb2 0.059 0.785 0.785

Below is an optimized crystal structure of POsIO2, with properties calculated at the PBE level.

Computed properties:
Its volume is 119.13 Å³/cell. The space group is P4/mmm (123). The spin magnetization comes out at 0.000 μB/f.u. The density of states at the Fermi level is 1.88 states/eV/cell. For the uncorrected formation energy, the calculation gives -0.0422 eV/atom.

abc: 3.750 3.750 8.472
angles: 90.00 90.00 90.00
Sites, in units of the cell vectors:
Os1 0.000 0.000 0.000
O1 0.000 0.500 0.000
O2 0.500 0.000 0.000
I1 0.000 0.000 0.500
P1 0.500 0.500 0.500

Below is an optimized crystal structure of BaIn2Ni, with properties calculated at the PBE level.

Computed properties:
Its volume is 123.95 Å³/cell. The space group is Imm2 (44). The spin magnetization comes out at 0.000 μB/f.u. For the raw total energy, the calculation gives -3.35 eV/atom. The density of states at the Fermi level is 1.69 states/eV/cell.

abc: 5.690 5.690 5.690
angles: 127.06 117.86 85.98
Sites, in units of the cell vectors:
Ba1 0.235 0.735 0.500
In1 0.951 0.951 0.000
In2 0.668 0.168 0.500
Ni1 0.647 0.647 0.000

Below is an optimized crystal structure of PaCoBi, with properties calculated at the PBE level.

Computed properties:
Its volume is 264.58 Å³/cell. The space group is Cmcm (63). The spin magnetization comes out at 0.000 μB/f.u. For the raw total energy, the calculation gives -7.00 eV/atom. The density of states at the Fermi level is 9.93 states/eV/cell.

abc: 6.217 8.064 8.026
angles: 41.11 90.00 90.00
Sites, in units of the cell vectors:
Bi1 0.500 0.750 0.500
Bi2 0.000 0.750 0.500
Bi3 0.000 0.250 0.500
Bi4 0.500 0.250 0.500
Pa1 0.750 0.816 0.079
Pa2 0.250 0.684 0.921
Pa3 0.250 0.184 0.921
Pa4 0.750 0.316 0.079
Co1 0.250 0.222 0.204
Co2 0.250 0.722 0.204
Co3 0.750 0.278 0.796
Co4 0.750 0.778 0.796

Below is an optimized crystal structure of TlCuSb2S4, with properties calculated at the PBE level.

Computed properties:
Its volume is 380.95 Å³/cell. The space group is Cmcm (63). The spin magnetization comes out at 0.000 μB/f.u. The density of states at the Fermi level is 1.40 states/eV/cell. For the uncorrected formation energy, the calculation gives -0.2532 eV/atom.

abc: 3.990 7.017 14.190
angles: 90.00 90.00 106.52
Sites, in units of the cell vectors:
Sb1 0.366 0.732 0.942
Sb2 0.634 0.268 0.058
Sb3 0.366 0.732 0.558
Sb4 0.634 0.268 0.442
Cu1 0.160 0.321 0.250
Cu2 0.840 0.679 0.750
S1 0.000 0.000 0.500
S2 0.579 0.159 0.250
S3 0.263 0.525 0.109
S4 0.737 0.475 0.609
S5 0.000 0.000 0.000
S6 0.737 0.475 0.891
S7 0.263 0.525 0.391
S8 0.421 0.841 0.750
Tl1 0.896 0.792 0.250
Tl2 0.104 0.208 0.750

Below is an optimized crystal structure of AlPtSe, with properties calculated at the PBE level.

Computed properties:
Its volume is 53.36 Å³/cell. The space group is Fmm2 (42). The spin magnetization comes out at 0.000 μB/f.u. The density of states at the Fermi level is 1.47 states/eV/cell. For the uncorrected formation energy, the calculation gives -0.2482 eV/atom.

abc: 6.366 6.367 2.980
angles: 76.43 76.49 27.07
Sites, in units of the cell vectors:
Se1 0.353 0.353 0.647
Al1 0.014 0.014 0.986
Pt1 0.633 0.633 0.367